A plane-wave DFT calculation with PBE was carried out for ErTeAsO after structural relaxation.

a b c (Å): 4.069 4.069 10.396
angles (deg): 90.00 90.00 90.00
Space group P4/nmm (No. 129, origin choice 2)
Unique sites:
Er1 0.250 0.250 0.095 [2 per cell]
Te1 0.250 0.750 0.500 [2 per cell]
As1 0.250 0.250 0.734 [2 per cell]
O1 0.250 0.750 0.000 [2 per cell]

DFT total energy   -45.07 eV for the cell shown

A plane-wave DFT calculation with PBE was carried out for KAg4P2 after structural relaxation.

a b c (Å): 4.4153 4.4153 26.8864
angles (deg): 90.00 90.00 120.00
Space group R-3m (No. 166, hexagonal axes)
Unique sites:
K1 0.0000 0.0000 0.0000 [3 per cell]
Ag1 0.0000 0.0000 0.1445 [6 per cell]
Ag2 0.0000 0.0000 0.4279 [6 per cell]
P1 0.0000 0.0000 0.2442 [6 per cell]

DFT total energy   -70.46 eV for the cell shown

A plane-wave DFT calculation with PBE was carried out for Li4CdSbPd2 after structural relaxation.

a b c (Å): 4.535 4.535 6.172
angles (deg): 90.00 90.00 90.00
Space group P-4m2 (No. 115)
Unique sites:
Li1 0.000 0.000 0.000 [1 per cell]
Li2 0.000 0.500 0.247 [2 per cell]
Li3 0.500 0.500 0.500 [1 per cell]
Cd1 0.500 0.500 0.000 [1 per cell]
Sb1 0.000 0.000 0.500 [1 per cell]
Pd1 0.000 0.500 0.736 [2 per cell]

DFT total energy   -27.23 eV for the cell shown

A plane-wave DFT calculation with PBE was carried out for ZnHg2Sb after structural relaxation.

a b c (Å): 7.283 7.283 7.283
angles (deg): 90.00 90.00 90.00
Space group F-43m (No. 216)
Unique sites:
Zn1 0.000 0.000 0.000 [4 per cell]
Hg1 0.000 0.000 0.500 [4 per cell]
Hg2 0.250 0.250 0.250 [4 per cell]
Sb1 0.250 0.250 0.750 [4 per cell]

DFT total energy   -20.80 eV for the cell shown

A plane-wave DFT calculation with PBE was carried out for HfScTe2 after structural relaxation.

a b c (Å): 7.278 7.278 7.278
angles (deg): 90.00 90.00 90.00
Space group F-43m (No. 216)
Unique sites:
Hf1 0.000 0.000 0.000 [4 per cell]
Sc1 0.250 0.250 0.750 [4 per cell]
Te1 0.000 0.000 0.500 [4 per cell]
Te2 0.250 0.250 0.250 [4 per cell]

DFT total energy   -89.83 eV for the cell shown

A plane-wave DFT calculation with PBE was carried out for YCoB after structural relaxation.

a b c (Å): 5.999 5.999 5.999
angles (deg): 90.00 90.00 90.00
Space group F-43m (No. 216)
Unique sites:
Y1 0.000 0.000 0.000 [4 per cell]
Co1 0.250 0.250 0.250 [4 per cell]
B1 0.250 0.250 0.750 [4 per cell]

DFT total energy   -67.05 eV for the cell shown

A plane-wave DFT calculation with PBE was carried out for Gd2NiIr after structural relaxation.

a b c (Å): 4.228 3.852 10.451
angles (deg): 90.00 90.00 90.00
Space group Amm2 (No. 38)
Unique sites:
Gd1 0.000 0.000 0.000 [2 per cell]
Gd2 0.500 0.000 0.281 [2 per cell]
Ni1 0.500 0.000 0.567 [2 per cell]
Ir1 0.000 0.000 0.717 [2 per cell]

ΔE_f   -626 meV per atom

A plane-wave DFT calculation with PBE was carried out for ZnSiAsO after structural relaxation.

a b c (Å): 4.121 4.121 8.584
angles (deg): 90.00 90.00 90.00
Space group P4/nmm (No. 129, origin choice 2)
Unique sites:
Zn1 0.250 0.250 0.015 [2 per cell]
Si1 0.250 0.750 0.500 [2 per cell]
As1 0.250 0.250 0.341 [2 per cell]
O1 0.250 0.750 0.000 [2 per cell]

DFT total energy   -35.60 eV for the cell shown

A plane-wave DFT calculation with PBE was carried out for HfInCoTc after structural relaxation.

a b c (Å): 6.468 6.468 6.468
angles (deg): 90.00 90.00 90.00
Space group F-43m (No. 216)
Unique sites:
Hf1 0.000 0.000 0.000 [4 per cell]
In1 0.250 0.250 0.750 [4 per cell]
Co1 0.000 0.000 0.500 [4 per cell]
Tc1 0.250 0.250 0.250 [4 per cell]

DFT total energy   -116.65 eV for the cell shown

A plane-wave DFT calculation with PBE was carried out for GdSnSe after structural relaxation.

a b c (Å): 4.9217 4.9217 11.1590
angles (deg): 90.00 90.00 120.00
Space group P-6m2 (No. 187)
Unique sites:
Gd1 0.0000 0.0000 0.0000 [1 per cell]
Gd2 0.0000 0.0000 0.3320 [2 per cell]
Sn1 0.3333 0.6667 0.5000 [1 per cell]
Sn2 0.6667 0.3333 0.1686 [2 per cell]
Se1 0.3333 0.6667 0.1557 [2 per cell]
Se2 0.6667 0.3333 0.5000 [1 per cell]

DFT total energy   -41.06 eV for the cell shown

A plane-wave DFT calculation with PBE was carried out for KCuSe after structural relaxation.

a b c (Å): 5.1792 5.1792 6.2194
angles (deg): 90.00 90.00 120.00
Space group P6_3/mmc (No. 194)
Unique sites:
K1 0.3333 0.6667 0.2500 [2 per cell]
Cu1 0.0000 0.0000 0.0000 [2 per cell]
Se1 0.3333 0.6667 0.7500 [2 per cell]

DFT total energy   -16.32 eV for the cell shown

A plane-wave DFT calculation with PBE was carried out for CuH6C4N8 after structural relaxation.

a b c (Å): 7.121 7.144 8.738
angles (deg): 68.91 78.49 69.44
Space group P-1 (No. 2)
Unique sites:
Cu1 0.209 0.227 0.314 [2 per cell]
H1 0.084 0.817 0.782 [2 per cell]
H2 0.131 0.848 0.580 [2 per cell]
H3 0.162 0.611 0.714 [2 per cell]
H4 0.418 0.809 0.776 [2 per cell]
H5 0.466 0.828 0.575 [2 per cell]
H6 0.471 0.403 0.281 [2 per cell]
C1 0.043 0.271 0.659 [2 per cell]
C2 0.143 0.759 0.088 [2 per cell]
C3 0.339 0.289 0.941 [2 per cell]
C4 0.458 0.775 0.290 [2 per cell]
N1 0.067 0.656 0.227 [2 per cell]
N2 0.072 0.765 0.690 [2 per cell]
N3 0.151 0.224 0.548 [2 per cell]
N4 0.221 0.833 0.959 [2 per cell]
N5 0.255 0.269 0.073 [2 per cell]
N6 0.337 0.863 0.376 [2 per cell]
N7 0.408 0.342 0.788 [2 per cell]
N8 0.480 0.248 0.311 [2 per cell]

DFT total energy   -251.40 eV for the cell shown